First-principles (PBE) data for crystalline CsGaOsO6 at its relaxed geometry, as listed in the Alexandria database. Values from VASP.

Summary:
DFT total energy (eV per atom): -6.262
Symmetry: P312, No. 149
Magnetic moment (μB/f.u.): 0.00
Formation energy from raw total energies (eV/atom): -1.278

```
&SYSTEM
  ibrav = 0, nat = 9, ntyp = 4
/
ATOMIC_SPECIES
O 16.00 O.upf
Os 190.23 Os.upf
Ga 69.72 Ga.upf
Cs 132.91 Cs.upf
ATOMIC_POSITIONS crystal
O 0.0184 0.3929 0.3360
O 0.3929 0.0184 0.6639
O 0.5886 0.0185 0.3360
O 0.3927 0.5888 0.3361
O 0.0185 0.5886 0.6640
Os 0.3333 0.3334 0.5000
Ga 0.6666 0.6666 0.5000
Cs 0.0000 0.0000 0.0000
O 0.5887 0.3928 0.6639
CELL_PARAMETERS angstrom
5.2714 0.0006 0.0002
2.6362 4.5647 -0.0002
0.0004 -0.0007 6.6629
```